<a>
BeFeRu (PBEsol, optimized geometry); total moment = 0.00 μB per formula unit; symmetry = F-43m (216)
1.0
3.756 0.000 0.000
1.878 3.253 0.000
1.878 1.084 3.067
Be Fe Ru
1 1 1
direct
0.000 0.000 0.000
0.500 0.500 0.500
0.250 0.250 0.250

=====

<b>
BeFeRu (PBEsol, optimized geometry); total moment = 0.01 μB per formula unit; symmetry = I4mm (107)
1.0
-2.058 -0.230 -1.707
1.689 -0.794 -1.928
-0.355 -3.537 3.013
Ru Fe Be
1 1 1
direct
0.337 0.337 0.673
0.654 0.654 0.309
0.009 0.009 0.018

=====

The structure with the least stability is <a>.

=====

<a>
BeFe2Sb (PBEsol, optimized geometry); total moment = 3.92 μB per formula unit; symmetry = F-43m (216)
1.0
4.132 0.000 0.000
2.066 3.579 0.000
2.066 1.193 3.374
Fe Sb Be
2 1 1
direct
0.250 0.250 0.250
0.000 0.000 0.000
0.750 0.750 0.750
0.500 0.500 0.500

=====

<b>
BeFe2Sb (PBEsol, optimized geometry); total moment = 3.76 μB per formula unit; symmetry = P4mm (99)
1.0
3.079 0.000 0.000
0.000 3.079 0.000
0.000 0.000 5.392
Fe Sb Be
2 1 1
direct
0.500 0.500 0.223
0.000 0.000 0.974
0.000 0.000 0.490
0.500 0.500 0.814

=====

The structure with the least stability is <a>.

=====

<a>
BeFe3Se (PBEsol, optimized geometry); total moment = 7.42 μB per formula unit; symmetry = Pm-3m (221)
1.0
3.969 0.000 0.000
0.000 3.969 0.000
0.000 0.000 3.969
Fe Be Se
3 1 1
direct
0.500 0.000 0.000
0.000 0.500 0.000
0.000 0.000 0.500
0.000 0.000 0.000
0.500 0.500 0.500

=====

<b>
BeFe3Se (PBEsol, optimized geometry); total moment = 5.81 μB per formula unit; symmetry = Pm-3m (221)
1.0
-3.865 1.702 0.380
-1.731 -3.857 -0.330
0.213 -0.456 4.210
Be Fe Se
1 3 1
direct
0.500 0.500 0.500
0.000 0.000 0.500
0.500 0.000 0.000
0.000 0.500 0.000
0.000 0.000 0.000

=====

The structure with the least stability is <b>.

=====

<a>
BeFeTc (PBEsol, optimized geometry); total moment = 0.90 μB per formula unit; symmetry = P3m1 (156)
1.0
2.575 0.000 0.000
-1.287 2.230 0.000
0.000 0.000 5.844
Fe Be Tc
1 1 1
direct
0.333 0.667 0.677
0.000 0.000 0.986
0.667 0.333 0.337

=====

<b>
BeFeTc (PBEsol, optimized geometry); total moment = 0.00 μB per formula unit; symmetry = I4mm (107)
1.0
-0.092 2.663 0.377
-2.150 -0.300 1.591
3.716 -1.578 2.446
Fe Tc Be
1 1 1
direct
0.654 0.654 0.307
0.332 0.332 0.665
0.014 0.014 0.028

=====

The structure with the least stability is <a>.